<A>
5
Lattice="5.223 0.000 0.000 0.000 5.223 0.000 0.000 0.000 4.448" Properties=species:S:1:pos:R:3 comment="RbPRuCl2 | Alexandria | PBE | relaxed" density_g_cm3=3.9 n_ef_per_ev_atom=0.922 pbc="T T T"
Ru 0.000 0.000 0.000
P 0.000 0.000 2.224
Rb 2.612 2.612 2.224
Cl 0.000 2.612 0.000
Cl 2.612 0.000 0.000

<B>
5
Lattice="6.005 0.000 0.000 0.000 6.005 0.000 0.000 0.000 6.137" Properties=species:S:1:pos:R:3 comment="RbPRuCl2 | Alexandria | PBE | relaxed" density_g_cm3=2.2 n_ef_per_ev_atom=1.531 pbc="T T T"
Ru 3.003 3.003 3.068
P 0.000 0.000 3.068
Rb 0.000 0.000 0.000
Cl 0.000 3.003 0.000
Cl 3.003 0.000 0.000

Result of the stability comparison: <B> is the least stable of them.